1.
Below is MgGa8Pd6 after structural relaxation, with properties calculated at the PBE-GGA level.

Computed properties:
Total magnetization   0.000 μB per atom
Fermi-level density of states   0.399 states/eV/atom
Formation energy from the elements   -0.554 eV/atom
Calculated total energy   -4.35 eV per atom

a = 6.766 Å, b = 6.766 Å, c = 6.766 Å
α = 67.42°, β = 67.42°, γ = 67.42°
Atoms (fractional coordinates):
Mg (0.000, 0.000, 0.000)
Ga (0.123, 0.795, 0.440)
Ga (0.205, 0.560, 0.877)
Ga (0.333, 0.333, 0.333)
Ga (0.440, 0.123, 0.795)
Ga (0.560, 0.877, 0.205)
Ga (0.667, 0.667, 0.667)
Ga (0.795, 0.440, 0.123)
Ga (0.877, 0.205, 0.560)
Pd (0.051, 0.391, 0.712)
Pd (0.288, 0.949, 0.609)
Pd (0.391, 0.712, 0.051)
Pd (0.609, 0.288, 0.949)
Pd (0.712, 0.051, 0.391)
Pd (0.949, 0.609, 0.288)

2.
Below is Mg3GaPd3 after structural relaxation, with properties calculated at the PBE-GGA level.

Computed properties:
Total magnetization   0.000 μB per atom
Polymorph energy (0 for the lowest one)   0.083 eV/atom
Fermi-level density of states   0.352 states/eV/atom
Formation energy from the elements   -0.541 eV/atom
Calculated total energy   -3.88 eV per atom

a = 5.593 Å, b = 5.593 Å, c = 8.277 Å
α = 91.28°, β = 91.28°, γ = 109.48°
Atoms (fractional coordinates):
Mg (0.167, 0.833, 0.000)
Mg (0.232, 0.768, 0.500)
Mg (0.423, 0.423, 0.184)
Mg (0.577, 0.577, 0.816)
Mg (0.768, 0.232, 0.500)
Mg (0.833, 0.167, 0.000)
Ga (0.291, 0.291, 0.543)
Ga (0.709, 0.709, 0.457)
Pd (0.036, 0.036, 0.284)
Pd (0.051, 0.487, 0.759)
Pd (0.487, 0.051, 0.759)
Pd (0.513, 0.949, 0.241)
Pd (0.949, 0.513, 0.241)
Pd (0.964, 0.964, 0.716)